<one>
VASP calculation (PBE) on crystalline KLa2Co at its relaxed geometry.

Properties
Calculated density: 4.0 g cm⁻³
D(E_F): 4.26 states/eV per cell

abc: 4.1072 3.9410 9.7403
angles: 90.00 101.98 90.00
Closest atoms and distances in Å follow each position.
Sites, in units of the cell vectors:
K 0.0000 0.0000 0.0000  4 K 3.94-4.11, 2 La 4.04-4.07, 2 Co 4.16
La 0.3171 0.5000 0.6334  1 Co 2.38
La 0.6881 0.0000 0.3675  4 Co 2.85
Co 0.1965 0.5000 0.3839  1 La 2.38



<two>
VASP calculation (PBE) on crystalline KLa2Co at its relaxed geometry.

Properties
Calculated density: 4.0 g cm⁻³
D(E_F): 13.69 states/eV per cell

abc: 4.1256 4.1256 31.8547
angles: 90.00 90.00 120.00
Closest atoms and distances in Å follow each position.
Sites, in units of the cell vectors:
K 0.0000 0.0000 0.0000  6 K 4.13, 6 La 4.55
K 0.3333 0.6667 0.6667  6 K 4.13, 6 La 4.55
K 0.6667 0.3333 0.3333  6 K 4.13, 6 La 4.55
La 0.0000 0.0000 0.2117  3 Co 2.78
La 0.0000 0.0000 0.7883  3 Co 2.78
La 0.3333 0.6667 0.4550  3 Co 2.78
La 0.3333 0.6667 0.8784  3 Co 2.78
La 0.6667 0.3333 0.1216  3 Co 2.78
La 0.6667 0.3333 0.5450  3 Co 2.78
Co 0.0000 0.0000 0.5000  6 La 2.78
Co 0.3333 0.6667 0.1667  6 La 2.78
Co 0.6667 0.3333 0.8333  6 La 2.78



The structure with the least stability is <one>.



<one>
VASP calculation (PBE) on crystalline K2LaCo at its relaxed geometry.

Properties
Calculated density: 3.6 g cm⁻³
D(E_F): 24.19 states/eV per cell

abc: 8.0086 8.0086 8.0086
angles: 90.00 90.00 90.00
Closest atoms and distances in Å follow each position.
Sites, in units of the cell vectors:
K 0.0000 0.0000 0.0000  4 K 3.47, 4 La 3.47
K 0.0000 0.5000 0.5000  4 K 3.47, 4 La 3.47
K 0.2500 0.2500 0.2500  4 K 3.47, 4 Co 3.47
K 0.2500 0.7500 0.7500  4 K 3.47, 4 Co 3.47
K 0.5000 0.0000 0.5000  4 K 3.47, 4 La 3.47
K 0.5000 0.5000 0.0000  4 K 3.47, 4 La 3.47
K 0.7500 0.2500 0.7500  4 K 3.47, 4 Co 3.47
K 0.7500 0.7500 0.2500  4 K 3.47, 4 Co 3.47
La 0.2500 0.2500 0.7500  4 K 3.47, 4 Co 3.47
La 0.2500 0.7500 0.2500  4 K 3.47, 4 Co 3.47
La 0.7500 0.2500 0.2500  4 K 3.47, 4 Co 3.47
La 0.7500 0.7500 0.7500  4 Co 3.47, 4 K 3.47
Co 0.0000 0.0000 0.5000  4 La 3.47, 4 K 3.47
Co 0.0000 0.5000 0.0000  4 La 3.47, 4 K 3.47
Co 0.5000 0.0000 0.0000  4 La 3.47, 4 K 3.47
Co 0.5000 0.5000 0.5000  4 La 3.47, 4 K 3.47



<two>
VASP calculation (PBE) on crystalline K2LaCo at its relaxed geometry.

Properties
Calculated density: 3.4 g cm⁻³
D(E_F): 5.72 states/eV per cell

abc: 4.4718 6.7333 4.4912
angles: 90.00 97.20 90.00
Closest atoms and distances in Å follow each position.
Sites, in units of the cell vectors:
K 0.2227 0.0000 0.2771  3 K 2.99-3.00
K 0.7773 0.0000 0.7229  3 K 2.99-3.00
La 0.5000 0.5000 0.0000  2 Co 2.96
Co 0.0000 0.5000 0.5000  2 La 2.96



<three>
VASP calculation (PBE) on crystalline K2LaCo at its relaxed geometry.

Properties
Calculated density: 3.2 g cm⁻³
D(E_F): 23.01 states/eV per cell

abc: 3.6118 3.6118 38.6263
angles: 90.00 90.00 120.00
Closest atoms and distances in Å follow each position.
Sites, in units of the cell vectors:
K 0.0000 0.0000 0.2346  3 Co 3.35, 6 K 3.61
K 0.0000 0.0000 0.7654  3 Co 3.35, 6 K 3.61
K 0.3333 0.6667 0.4320  3 Co 3.35, 6 K 3.61
K 0.3333 0.6667 0.9013  3 Co 3.35, 6 K 3.61
K 0.6667 0.3333 0.0987  3 Co 3.35, 6 K 3.61
K 0.6667 0.3333 0.5680  3 Co 3.35, 6 K 3.61
La 0.0000 0.0000 0.0000  6 La 3.61
La 0.3333 0.6667 0.6667  6 La 3.61
La 0.6667 0.3333 0.3333  6 La 3.61
Co 0.0000 0.0000 0.5000  6 K 3.35, 6 Co 3.61
Co 0.3333 0.6667 0.1667  6 K 3.35, 6 Co 3.61
Co 0.6667 0.3333 0.8333  6 K 3.35, 6 Co 3.61



The structure with the least stability is <three>.



<one>
VASP calculation (PBE) on crystalline K2LaCo at its relaxed geometry.

Properties
Calculated density: 2.7 g cm⁻³
D(E_F): 6.78 states/eV per cell

abc: 3.7639 6.6651 13.5258
angles: 90.00 90.00 90.00
Closest atoms and distances in Å follow each position.
Sites, in units of the cell vectors:
K 0.0000 0.0000 0.0000  4 K 3.76-3.98, 4 Co 3.89, 2 La 3.99
K 0.0000 0.5000 0.1615  2 Co 3.45, 2 K 3.76
K 0.5000 0.0000 0.6615  2 Co 3.45, 2 K 3.76
K 0.5000 0.5000 0.5000  4 K 3.76-3.98, 4 Co 3.89, 2 La 3.99
La 0.0000 0.5000 0.8379  2 Co 2.40
La 0.5000 0.0000 0.3379  2 Co 2.40
Co 0.0000 0.0000 0.4480  2 La 2.40
Co 0.5000 0.5000 0.9480  2 La 2.40



<two>
VASP calculation (PBE) on crystalline K2LaCo at its relaxed geometry.

Properties
Calculated density: 3.6 g cm⁻³
D(E_F): 17.57 states/eV per cell

abc: 8.0224 8.0224 8.0224
angles: 90.00 90.00 90.00
Closest atoms and distances in Å follow each position.
Sites, in units of the cell vectors:
K 0.2500 0.2500 0.2500  4 Co 3.47, 4 La 3.47
K 0.2500 0.2500 0.7500  4 La 3.47, 4 Co 3.47
K 0.2500 0.7500 0.2500  4 La 3.47, 4 Co 3.47
K 0.2500 0.7500 0.7500  4 Co 3.47, 4 La 3.47
K 0.7500 0.2500 0.2500  4 La 3.47, 4 Co 3.47
K 0.7500 0.2500 0.7500  4 Co 3.47, 4 La 3.47
K 0.7500 0.7500 0.2500  4 Co 3.47, 4 La 3.47
K 0.7500 0.7500 0.7500  4 La 3.47, 4 Co 3.47
La 0.0000 0.0000 0.0000  8 K 3.47
La 0.0000 0.5000 0.5000  8 K 3.47
La 0.5000 0.0000 0.5000  8 K 3.47
La 0.5000 0.5000 0.0000  8 K 3.47
Co 0.0000 0.0000 0.5000  8 K 3.47
Co 0.0000 0.5000 0.0000  8 K 3.47
Co 0.5000 0.0000 0.0000  8 K 3.47
Co 0.5000 0.5000 0.5000  8 K 3.47



<three>
VASP calculation (PBE) on crystalline K2LaCo at its relaxed geometry.

Properties
Calculated density: 3.2 g cm⁻³
D(E_F): 10.45 states/eV per cell

abc: 5.9475 13.0246 3.6549
angles: 90.00 90.00 90.00
Closest atoms and distances in Å follow each position.
Sites, in units of the cell vectors:
K 0.2500 0.2500 0.0000  2 K 2.97
K 0.2500 0.7500 0.0000  2 K 2.97
K 0.7500 0.2500 0.0000  2 K 2.97
K 0.7500 0.7500 0.0000  2 K 2.97
La 0.0000 0.0000 0.5000  2 Co 2.97
La 0.5000 0.5000 0.5000  2 Co 2.97
Co 0.0000 0.5000 0.5000  2 La 2.97
Co 0.5000 0.0000 0.5000  2 La 2.97



<four>
VASP calculation (PBE) on crystalline K2LaCo at its relaxed geometry.

Properties
Calculated density: 3.3 g cm⁻³
D(E_F): 5.17 states/eV per cell

abc: 3.6093 6.0506 6.4463
angles: 90.00 90.00 90.00
Closest atoms and distances in Å follow each position.
Sites, in units of the cell vectors:
K 0.0000 0.2361 0.0000  2 K 2.86-3.19
K 0.0000 0.7639 0.0000  2 K 2.86-3.19
La 0.5000 0.5000 0.5000  2 Co 3.03
Co 0.5000 0.0000 0.5000  2 La 3.03



The structure with the least stability is <two>.



<one>
VASP calculation (PBE) on crystalline K2LaCo at its relaxed geometry.

Properties
Calculated density: 3.5 g cm⁻³
D(E_F): 8.31 states/eV per cell

abc: 4.4404 4.4404 6.6756
angles: 90.00 90.00 90.00
Closest atoms and distances in Å follow each position.
Sites, in units of the cell vectors:
K 0.0000 0.5000 0.0000  4 K 3.14
K 0.5000 0.0000 0.0000  4 K 3.14
La 0.0000 0.0000 0.5000  4 Co 3.14
Co 0.5000 0.5000 0.5000  4 La 3.14



<two>
VASP calculation (PBE) on crystalline K2LaCo at its relaxed geometry.

Properties
Calculated density: 2.7 g cm⁻³
D(E_F): 7.06 states/eV per cell

abc: 7.8768 4.2114 10.4520
angles: 90.00 102.08 90.00
Closest atoms and distances in Å follow each position.
Sites, in units of the cell vectors:
K 0.0000 0.0000 0.0000  3 Co 3.92-4.14, 3 La 3.96-4.01, 2 K 4.21
K 0.1742 0.0000 0.6049  3 Co 3.91-4.17, 3 La 3.93-4.03, 2 K 4.21
K 0.5000 0.5000 0.0000  3 Co 3.92-4.14, 3 La 3.96-4.01, 2 K 4.21
K 0.6742 0.5000 0.6049  3 Co 3.91-4.17, 3 La 3.93-4.03, 2 K 4.21
La 0.3989 0.0000 0.3024  3 Co 2.47-2.65
La 0.8989 0.5000 0.3024  3 Co 2.47-2.65
Co 0.2348 0.5000 0.3022  3 La 2.47-2.65
Co 0.7348 0.0000 0.3022  3 La 2.47-2.65



The structure with the least stability is <one>.



<one>
VASP calculation (PBE) on crystalline K2LaCo at its relaxed geometry.

Properties
Calculated density: 2.9 g cm⁻³
D(E_F): 5.64 states/eV per cell

abc: 22.1309 3.7014 3.9639
angles: 90.00 100.13 90.00
Closest atoms and distances in Å follow each position.
Sites, in units of the cell vectors:
K 0.1559 0.0000 0.1529  4 K 3.70-3.96, 2 Co 3.87, 2 La 3.93
K 0.3441 0.5000 0.8471  4 K 3.70-3.96, 2 Co 3.87, 2 La 3.93
K 0.6559 0.5000 0.1529  4 K 3.70-3.96, 2 Co 3.87, 2 La 3.93
K 0.8441 0.0000 0.8471  4 K 3.70-3.96, 2 Co 3.87, 2 La 3.93
La 0.0000 0.0000 0.5000  4 Co 2.71
La 0.5000 0.5000 0.5000  4 Co 2.71
Co 0.0000 0.5000 0.0000  4 La 2.71
Co 0.5000 0.0000 0.0000  4 La 2.71



<two>
VASP calculation (PBE) on crystalline K2LaCo at its relaxed geometry.

Properties
Calculated density: 3.1 g cm⁻³
D(E_F): 12.90 states/eV per cell

abc: 3.9646 5.8458 12.7373
angles: 90.00 90.00 90.00
Closest atoms and distances in Å follow each position.
Sites, in units of the cell vectors:
K 0.0000 0.0000 0.2035  2 Co 3.26, 4 K 3.53
K 0.0000 0.0000 0.7965  2 Co 3.26, 4 K 3.53
K 0.5000 0.5000 0.2035  2 Co 3.26, 4 K 3.53
K 0.5000 0.5000 0.7965  2 Co 3.26, 4 K 3.53
La 0.0000 0.5000 0.5000  4 La 3.53
La 0.5000 0.0000 0.5000  4 La 3.53
Co 0.0000 0.5000 0.0000  4 K 3.26, 4 Co 3.53
Co 0.5000 0.0000 0.0000  4 K 3.26, 4 Co 3.53



<three>
VASP calculation (PBE) on crystalline K2LaCo at its relaxed geometry.

Properties
Calculated density: 3.5 g cm⁻³
D(E_F): 13.24 states/eV per cell

abc: 6.0319 13.6931 4.3936
angles: 90.00 133.14 90.00
Closest atoms and distances in Å follow each position.
Sites, in units of the cell vectors:
K 0.2500 0.2500 0.0000  4 K 3.02-3.21
K 0.2500 0.7500 0.0000  4 K 3.02-3.21
K 0.7500 0.2500 0.0000  4 K 3.02-3.21
K 0.7500 0.7500 0.0000  4 K 3.02-3.21
La 0.0000 0.0000 0.5000  4 Co 3.02-3.21
La 0.5000 0.5000 0.5000  4 Co 3.02-3.21
Co 0.0000 0.5000 0.5000  4 La 3.02-3.21
Co 0.5000 0.0000 0.5000  4 La 3.02-3.21



<four>
VASP calculation (PBE) on crystalline K2LaCo at its relaxed geometry.

Properties
Calculated density: 2.9 g cm⁻³
D(E_F): 3.20 states/eV per cell

abc: 3.7868 3.7868 11.0539
angles: 90.00 90.00 90.00
Closest atoms and distances in Å follow each position.
Sites, in units of the cell vectors:
K 0.0000 0.0000 0.0000  1 La 3.55, 4 K 3.79
K 0.5000 0.5000 0.3687  4 K 3.79, 1 Co 3.90
La 0.0000 0.0000 0.6784  4 Co 2.72
Co 0.5000 0.5000 0.7217  4 La 2.72



The structure with the least stability is <two>.



<one>
VASP calculation (PBE) on crystalline K2LaCo at its relaxed geometry.

Properties
Calculated density: 3.1 g cm⁻³
D(E_F): 7.66 states/eV per cell

abc: 3.4351 3.4351 12.3999
angles: 90.00 90.00 90.00
Closest atoms and distances in Å follow each position.
Sites, in units of the cell vectors:
K 0.0000 0.0000 0.1931  4 Co 3.41, 4 K 3.44
K 0.0000 0.0000 0.8069  4 Co 3.41, 4 K 3.44
La 0.5000 0.5000 0.5000  4 La 3.44
Co 0.5000 0.5000 0.0000  8 K 3.41, 4 Co 3.44



<two>
VASP calculation (PBE) on crystalline K2LaCo at its relaxed geometry.

Properties
Calculated density: 2.8 g cm⁻³
D(E_F): 2.48 states/eV per cell

abc: 3.9765 3.7649 11.0312
angles: 90.00 100.13 90.00
Closest atoms and distances in Å follow each position.
Sites, in units of the cell vectors:
K 0.0000 0.0000 0.0000  4 K 3.76-3.98, 2 Co 3.80, 2 La 3.93-3.97
K 0.3111 0.5000 0.6239  1 Co 3.51, 2 K 3.76
La 0.6627 0.0000 0.3142  2 Co 2.52
Co 0.2366 0.5000 0.3020  2 La 2.52



The structure with the least stability is <one>.